No. 1
Computed, not measured: crystalline Sc2H6IrPt at its relaxed geometry at the GGA-PBE level of DFT.

a = 5.0701 Å, b = 5.0701 Å, c = 5.0701 Å
α = 60.00°, β = 60.00°, γ = 60.00°
Closest atoms and distances in Å follow each position.
Atoms (fractional coordinates):
Sc1 0.2500 0.2500 0.2500  12 H 2.54
Sc2 0.7500 0.7500 0.7500  12 H 2.54
H1 0.2443 0.2443 0.7557  1 Ir 1.75, 1 Pt 1.83
H2 0.2443 0.7557 0.2443  1 Ir 1.75, 1 Pt 1.83
H3 0.2443 0.7557 0.7557  1 Ir 1.75, 1 Pt 1.83
H4 0.7557 0.2443 0.2443  1 Ir 1.75, 1 Pt 1.83
H5 0.7557 0.2443 0.7557  1 Ir 1.75, 1 Pt 1.83
H6 0.7557 0.7557 0.2443  1 Ir 1.75, 1 Pt 1.83
Ir1 0.0000 0.0000 0.0000  6 H 1.75
Pt1 0.5000 0.5000 0.5000  6 H 1.83

Computed properties:
Magnetic moment   0.00 μB/atom
Crystal system   cubic
Total DFT energy (no corrections)   -51.710 eV/cell

No. 2
Computed, not measured: crystalline NaLaFeTe at its relaxed geometry at the GGA-PBE level of DFT.

a = 4.8567 Å, b = 4.8567 Å, c = 4.8567 Å
α = 60.00°, β = 60.00°, γ = 60.00°
Closest atoms and distances in Å follow each position.
Atoms (fractional coordinates):
Na1 0.0000 0.0000 0.0000  4 La 2.97, 4 Te 2.97
La1 0.2500 0.2500 0.2500  4 Fe 2.97, 4 Na 2.97
Fe1 0.5000 0.5000 0.5000  4 Te 2.97, 4 La 2.97
Te1 0.7500 0.7500 0.7500  4 Fe 2.97, 4 Na 2.97

Computed properties:
Magnetic moment   0.00 μB/atom
Crystal system   cubic
Distance to the lowest polymorph of the same formula   66 meV/atom

No. 3
Computed, not measured: crystalline ZrGe2Sb at its relaxed geometry at the GGA-PBE level of DFT.

a = 4.9894 Å, b = 4.9894 Å, c = 4.9894 Å
α = 60.00°, β = 60.00°, γ = 60.00°
Closest atoms and distances in Å follow each position.
Atoms (fractional coordinates):
Zr1 0.0000 0.0000 0.0000  4 Ge 3.06, 4 Sb 3.06
Ge1 0.2500 0.2500 0.2500  4 Ge 3.06, 4 Zr 3.06
Ge2 0.5000 0.5000 0.5000  4 Sb 3.06, 4 Ge 3.06
Sb1 0.7500 0.7500 0.7500  4 Ge 3.06, 4 Zr 3.06

Computed properties:
Magnetic moment   0.00 μB/atom
Crystal system   cubic
Total DFT energy (no corrections)   -21.449 eV/cell

No. 4
Computed, not measured: crystalline Lu4Zr2In3N3 at its relaxed geometry at the GGA-PBE level of DFT.

a = 5.8733 Å, b = 5.8733 Å, c = 15.4936 Å
α = 100.96°, β = 100.96°, γ = 60.07°
Closest atoms and distances in Å follow each position.
Atoms (fractional coordinates):
Lu1 0.0299 0.1938 0.0852  3 N 2.34-2.35
Lu2 0.1363 0.3052 0.4148  3 N 2.33-2.35
Lu3 0.1938 0.0299 0.5852  3 N 2.34-2.35
Lu4 0.3052 0.1363 0.9148  3 N 2.33-2.35
Lu5 0.6948 0.8637 0.0852  3 N 2.33-2.35
Lu6 0.8062 0.9701 0.4148  3 N 2.34-2.35
Lu7 0.8637 0.6948 0.5852  3 N 2.33-2.35
Lu8 0.9701 0.8062 0.9148  3 N 2.34-2.35
Zr1 0.3590 0.5263 0.0782  3 N 2.28-2.29
Zr2 0.4737 0.6410 0.4218  3 N 2.28-2.29
Zr3 0.5263 0.3590 0.5782  3 N 2.28-2.29
Zr4 0.6410 0.4737 0.9218  3 N 2.28-2.29
In1 0.1052 0.8948 0.2500  6 In 3.17-3.51, 2 Zr 3.18, 4 Lu 3.21
In2 0.2717 0.4166 0.7503  6 In 3.17-3.51, 2 Zr 3.17-3.18, 4 Lu 3.21
In3 0.4166 0.2717 0.2503  6 In 3.17-3.51, 2 Zr 3.17-3.18, 4 Lu 3.21
In4 0.5834 0.7283 0.7497  6 In 3.17-3.51, 2 Zr 3.17-3.18, 4 Lu 3.21
In5 0.7283 0.5834 0.2497  6 In 3.17-3.51, 2 Zr 3.17-3.18, 4 Lu 3.21
In6 0.8948 0.1052 0.7500  6 In 3.17-3.51, 2 Zr 3.18, 4 Lu 3.21
N1 0.0000 0.5000 0.0000  2 Zr 2.28, 4 Lu 2.35
N2 0.1661 0.6670 0.5000  2 Zr 2.29, 4 Lu 2.33-2.35
N3 0.3330 0.8339 0.0000  2 Zr 2.29, 4 Lu 2.33-2.35
N4 0.5000 0.0000 0.5000  2 Zr 2.28, 4 Lu 2.35
N5 0.6670 0.1661 0.0000  2 Zr 2.29, 4 Lu 2.33-2.35
N6 0.8339 0.3330 0.5000  2 Zr 2.29, 4 Lu 2.33-2.35

Computed properties:
Magnetic moment   0.00 μB/atom
Crystal system   monoclinic
Total DFT energy (no corrections)   -163.095 eV/cell

No. 5
Computed, not measured: crystalline HoGaNiPd at its relaxed geometry at the GGA-PBE level of DFT.

a = 4.2721 Å, b = 4.2721 Å, c = 8.8958 Å
α = 90.00°, β = 90.00°, γ = 120.00°
Closest atoms and distances in Å follow each position.
Atoms (fractional coordinates):
Ho1 0.0000 0.0000 0.0000  2 Pd 2.90, 6 Ni 2.91, 6 Ga 3.21
Ho2 0.3333 0.6667 0.5000  2 Ni 2.90, 6 Pd 2.91
Ga1 0.6667 0.3333 0.2318  3 Ni 2.52, 3 Pd 2.61
Ga2 0.6667 0.3333 0.7682  3 Ni 2.52, 3 Pd 2.61
Ni1 0.3333 0.6667 0.1743  3 Ga 2.52, 3 Pd 2.81
Ni2 0.3333 0.6667 0.8257  3 Ga 2.52, 3 Pd 2.81
Pd1 0.0000 0.0000 0.3264  3 Ga 2.61, 3 Ni 2.81, 4 Ho 2.90-2.91
Pd2 0.0000 0.0000 0.6736  3 Ga 2.61, 3 Ni 2.81, 4 Ho 2.90-2.91

Computed properties:
Magnetic moment   0.00 μB/atom
Crystal system   hexagonal
Distance to the lowest polymorph of the same formula   5 meV/atom

No. 6
Computed, not measured: crystalline LiPd3 at its relaxed geometry at the GGA-PBE level of DFT.

a = 8.4170 Å, b = 8.4170 Å, c = 8.4170 Å
α = 19.22°, β = 19.22°, γ = 19.22°
Closest atoms and distances in Å follow each position.
Atoms (fractional coordinates):
Li1 0.0000 0.0000 0.0000  6 Pd 2.51
Pd1 0.2563 0.2563 0.2563  3 Li 2.51, 3 Pd 2.75
Pd2 0.5000 0.5000 0.5000  12 Pd 2.75-2.81
Pd3 0.7437 0.7437 0.7437  3 Li 2.51, 3 Pd 2.75

Computed properties:
Crystal system   trigonal
Total DFT energy (no corrections)   -18.067 eV/cell

Question: What is the formula in the first record?
Answer: Sc2H6IrPt

Repeat the sixth record exactly.
Computed, not measured: crystalline LiPd3 at its relaxed geometry at the GGA-PBE level of DFT.

a = 8.4170 Å, b = 8.4170 Å, c = 8.4170 Å
α = 19.22°, β = 19.22°, γ = 19.22°
Closest atoms and distances in Å follow each position.
Atoms (fractional coordinates):
Li1 0.0000 0.0000 0.0000  6 Pd 2.51
Pd1 0.2563 0.2563 0.2563  3 Li 2.51, 3 Pd 2.75
Pd2 0.5000 0.5000 0.5000  12 Pd 2.75-2.81
Pd3 0.7437 0.7437 0.7437  3 Li 2.51, 3 Pd 2.75

Computed properties:
Crystal system   trigonal
Total DFT energy (no corrections)   -18.067 eV/cell